# 1
# Sr2AsSe, optimized geometry, DFT PBE
data_Sr2AsSe
_cell_length_a 6.3502
_cell_length_b 4.4726
_cell_length_c 4.4651
_cell_angle_alpha 90.00
_cell_angle_beta 90.00
_cell_angle_gamma 90.00
_space_group_name_H-M_alt 'P 1'
_space_group_IT_number 1
loop_
_space_group_symop_operation_xyz
'x,y,z'
loop_
_atom_site_label
_atom_site_type_symbol
_atom_site_fract_x
_atom_site_fract_y
_atom_site_fract_z
Sr1 Sr 0.5000 0.3752 0.3752
Sr2 Sr 0.0000 0.8749 0.8748
As1 As 0.0000 0.3748 0.3748
Se1 Se 0.5000 0.8751 0.8752
# calculated volume: 126.8 Å³/cell
# E: -4.265 eV/atom



# 2
# Sr2AsSe, optimized geometry, DFT PBE
data_Sr2AsSe
_cell_length_a 5.4268
_cell_length_b 5.4268
_cell_length_c 5.4268
_cell_angle_alpha 60.00
_cell_angle_beta 60.00
_cell_angle_gamma 60.00
_space_group_name_H-M_alt 'P 1'
_space_group_IT_number 1
loop_
_space_group_symop_operation_xyz
'x,y,z'
loop_
_atom_site_label
_atom_site_type_symbol
_atom_site_fract_x
_atom_site_fract_y
_atom_site_fract_z
Sr1 Sr 0.2500 0.2500 0.2500
Sr2 Sr 0.7500 0.7500 0.7500
Se1 Se 0.5000 0.5000 0.5000
As1 As 0.0000 0.0000 0.0000
# calculated volume: 113.0 Å³/cell
# E: -4.092 eV/atom



# 3
# SrAsSe2, optimized geometry, DFT PBE
data_SrAsSe2
_cell_length_a 5.5864
_cell_length_b 5.5864
_cell_length_c 5.5864
_cell_angle_alpha 137.61
_cell_angle_beta 115.42
_cell_angle_gamma 80.34
_space_group_name_H-M_alt 'P 1'
_space_group_IT_number 1
loop_
_space_group_symop_operation_xyz
'x,y,z'
loop_
_atom_site_label
_atom_site_type_symbol
_atom_site_fract_x
_atom_site_fract_y
_atom_site_fract_z
As1 As 0.2500 0.7500 0.5000
Se1 Se 0.0454 0.0454 0.0000
Se2 Se 0.4546 0.4546 0.0000
Sr1 Sr 0.7500 0.2500 0.5000
# calculated volume: 102.9 Å³/cell
# E: -4.118 eV/atom



# 4
# Sr2As2Se, optimized geometry, DFT PBE
data_Sr2As2Se
_cell_length_a 6.0092
_cell_length_b 6.0092
_cell_length_c 5.9264
_cell_angle_alpha 59.54
_cell_angle_beta 59.54
_cell_angle_gamma 90.00
_space_group_name_H-M_alt 'P 1'
_space_group_IT_number 1
loop_
_space_group_symop_operation_xyz
'x,y,z'
loop_
_atom_site_label
_atom_site_type_symbol
_atom_site_fract_x
_atom_site_fract_y
_atom_site_fract_z
As1 As 0.6533 0.6533 0.6933
As2 As 0.3467 0.3467 0.3067
Se1 Se 0.0000 0.0000 0.0000
Sr1 Sr 0.7500 0.2500 0.5000
Sr2 Sr 0.2500 0.7500 0.5000
# calculated volume: 149.2 Å³/cell
# E: -4.049 eV/atom



# 5
# Sr4As2Se, optimized geometry, DFT PBE
data_Sr4As2Se
_cell_length_a 9.1928
_cell_length_b 9.1928
_cell_length_c 9.1928
_cell_angle_alpha 90.19
_cell_angle_beta 119.89
_cell_angle_gamma 119.89
_space_group_name_H-M_alt 'P 1'
_space_group_IT_number 1
loop_
_space_group_symop_operation_xyz
'x,y,z'
loop_
_atom_site_label
_atom_site_type_symbol
_atom_site_fract_x
_atom_site_fract_y
_atom_site_fract_z
Sr1 Sr 0.7754 0.1626 0.3872
Sr2 Sr 0.7246 0.1372 0.8618
Sr3 Sr 0.7754 0.6128 0.3882
Sr4 Sr 0.2754 0.1382 0.8628
Sr5 Sr 0.7246 0.5874 0.8628
Sr6 Sr 0.2754 0.1372 0.4126
Sr7 Sr 0.2246 0.6118 0.3872
Sr8 Sr 0.2246 0.6128 0.8374
As1 As 0.2500 0.8750 0.6250
As2 As 0.7500 0.3750 0.6250
As3 As 0.2500 0.3750 0.6250
As4 As 0.7500 0.3750 0.1250
Se1 Se 0.5000 0.7500 0.2500
Se2 Se 0.0000 0.0000 0.0000
# calculated volume: 550.2 Å³/cell
# E: -4.107 eV/atom



# 6
# SrAsSe2, optimized geometry, DFT PBE
data_SrAsSe2
_cell_length_a 4.2964
_cell_length_b 4.2961
_cell_length_c 6.1236
_cell_angle_alpha 90.00
_cell_angle_beta 90.00
_cell_angle_gamma 90.00
_space_group_name_H-M_alt 'P 1'
_space_group_IT_number 1
loop_
_space_group_symop_operation_xyz
'x,y,z'
loop_
_atom_site_label
_atom_site_type_symbol
_atom_site_fract_x
_atom_site_fract_y
_atom_site_fract_z
As1 As 0.5000 0.5000 0.8320
Sr1 Sr 0.0000 0.0000 0.3708
Se1 Se 0.0000 0.0000 0.8677
Se2 Se 0.5000 0.5000 0.4296
# calculated volume: 113.0 Å³/cell
# E: -4.210 eV/atom



Uncorrected formation energy per entry: -1.391; -1.218; -0.793; -0.820; -1.320; -0.885 eV per atom